1.
Computed, not measured: a geometry-optimized KNaZr2 structure at the PBE level of DFT.

a = 5.425 Å, b = 5.425 Å, c = 5.425 Å
α = 60.00°, β = 60.00°, γ = 60.00°
Sites, in units of the cell vectors:
Na  0.000  0.000  0.000
Zr  0.250  0.250  0.250
Zr  0.750  0.750  0.750
K  0.500  0.500  0.500

2.
Computed, not measured: a geometry-optimized NaMg2SbH structure at the PBE level of DFT.

a = 4.574 Å, b = 4.574 Å, c = 4.538 Å
α = 90.00°, β = 90.00°, γ = 90.00°
Sites, in units of the cell vectors:
Mg  0.000  0.500  0.000
Mg  0.500  0.000  0.000
Na  0.000  0.000  0.500
H  0.000  0.000  0.000
Sb  0.500  0.500  0.500

3.
Computed, not measured: a geometry-optimized TePAu3 structure at the PBE level of DFT.

a = 4.829 Å, b = 4.829 Å, c = 4.829 Å
α = 90.00°, β = 90.00°, γ = 90.00°
Sites, in units of the cell vectors:
Te  0.500  0.500  0.500
P  0.000  0.000  0.000
Au  0.000  0.500  0.000
Au  0.500  0.000  0.000
Au  0.000  0.000  0.500

Results
ΔE_f (raw): 0.352 eV per atom

4.
Computed, not measured: a geometry-optimized CdSiP2 structure at the PBE level of DFT.

a = 4.620 Å, b = 4.620 Å, c = 4.620 Å
α = 60.00°, β = 60.00°, γ = 60.00°
Sites, in units of the cell vectors:
P  0.000  0.000  0.000
P  0.250  0.250  0.250
Cd  0.500  0.500  0.500
Si  0.750  0.750  0.750

Results
ΔE_f (raw): 0.706 eV per atom

5.
Computed, not measured: a geometry-optimized KNi2Cl structure at the PBE level of DFT.

a = 3.961 Å, b = 3.961 Å, c = 7.536 Å
α = 72.48°, β = 72.48°, γ = 50.14°
Sites, in units of the cell vectors:
Ni  0.056  0.056  0.907
Ni  0.788  0.788  0.794
Cl  0.426  0.426  0.549
K  0.230  0.230  0.250

Results
ΔE_f (raw): 0.044 eV per atom

6.
Computed, not measured: a geometry-optimized Pm2SmHo structure at the PBE level of DFT.

a = 5.106 Å, b = 7.226 Å, c = 7.226 Å
α = 90.09°, β = 90.00°, γ = 90.00°
Sites, in units of the cell vectors:
Ho  0.250  0.377  0.623
Ho  0.750  0.623  0.377
Pm  0.750  0.126  0.376
Pm  0.250  0.376  0.126
Pm  0.750  0.624  0.874
Pm  0.250  0.874  0.624
Sm  0.750  0.126  0.874
Sm  0.250  0.874  0.126

7.
Computed, not measured: a geometry-optimized KZn2Pb structure at the PBE level of DFT.

a = 5.405 Å, b = 5.405 Å, c = 10.384 Å
α = 74.92°, β = 74.92°, γ = 90.00°
Sites, in units of the cell vectors:
K  0.500  0.500  0.000
K  0.250  0.750  0.500
Zn  0.875  0.126  0.750
Zn  0.876  0.125  0.250
Zn  0.375  0.124  0.750
Zn  0.874  0.625  0.250
Pb  0.750  0.250  0.500
Pb  0.000  0.000  0.000

8.
Computed, not measured: a geometry-optimized InReTc structure at the PBE level of DFT.

a = 2.885 Å, b = 2.885 Å, c = 6.942 Å
α = 90.00°, β = 90.00°, γ = 120.00°
Sites, in units of the cell vectors:
Re  0.667  0.333  0.355
In  0.000  0.000  0.998
Tc  0.333  0.667  0.647

Number 1: theoretical density 3.6 Mg/m³, calculated total energy -3.56 eV/atom. Number 2: theoretical density 3.4 Mg/m³, calculated total energy -2.58 eV/atom. Number 3: theoretical density 11.1 Mg/m³, calculated total energy -3.32 eV/atom. Number 4: theoretical density 4.8 Mg/m³, calculated total energy -3.58 eV/atom. Number 5: theoretical density 3.7 Mg/m³, calculated total energy -3.58 eV/atom. Number 6: theoretical density 7.5 Mg/m³, calculated total energy -4.68 eV/atom. Number 7: theoretical density 4.4 Mg/m³, calculated total energy -1.70 eV/atom. Number 8: theoretical density 13.2 Mg/m³, calculated total energy -8.26 eV/atom.